1.
Density functional theory data (PBE) for a relaxed FeNi2Au crystal.

DOS at the Fermi energy (states/eV/cell): 4.553
E_form (meV per atom): 93
Space-group type: No. 8
V (Å³/cell): 52.3
Total DFT energy (no corrections) (eV per atom): -5.732

Cell: 4.5447 4.5447 4.5628 Å, 100.65 100.65 34.45°
Last column: nearest neighbours and their distance in Å.
Atoms (fractional coordinates):
Fe (0.0000, 0.0000, 0.0000)  5 Ni 2.49-2.60, 3 Au 2.67-2.71, 2 Fe 2.69
Ni (0.4869, 0.4869, 0.4527)  2 Fe 2.49, 5 Ni 2.55-2.69, 3 Au 2.64-2.67
Ni (0.7447, 0.7447, 0.2177)  3 Fe 2.55-2.60, 5 Ni 2.55-2.69, 4 Au 2.65
Au (0.2423, 0.2423, 0.7166)  7 Ni 2.64-2.67, 3 Fe 2.67-2.71, 2 Au 2.69

***

2.
Density functional theory data (PBE) for a relaxed FeNi6Au crystal.

DOS at the Fermi energy (states/eV/cell): 37.356
E_form (meV per atom): 12
Space-group type: No. 65
V (Å³/cell): 381.4
Total DFT energy (no corrections) (eV per atom): -5.792

Cell: 6.2756 6.2756 10.2867 Å, 90.00 90.00 109.70°
Last column: nearest neighbours and their distance in Å.
Atoms (fractional coordinates):
Fe (0.0000, 0.0000, 0.2467)  12 Ni 2.49-2.61
Fe (0.0000, 0.0000, 0.7533)  12 Ni 2.49-2.61
Fe (0.2497, 0.7503, 0.0000)  12 Ni 2.47-2.57
Fe (0.7503, 0.2497, 0.0000)  12 Ni 2.47-2.57
Ni (0.0000, 0.0000, 0.0000)  8 Ni 2.51, 4 Fe 2.54-2.56
Ni (0.0000, 0.0000, 0.5000)  8 Ni 2.54, 2 Au 2.60, 2 Fe 2.61
Ni (0.1161, 0.3710, 0.1195)  8 Ni 2.46-2.62, 3 Fe 2.49-2.56, 1 Au 2.63
Ni (0.1161, 0.3710, 0.8805)  8 Ni 2.46-2.62, 3 Fe 2.49-2.56, 1 Au 2.63
Ni (0.1179, 0.3634, 0.3686)  1 Fe 2.49, 8 Ni 2.52-2.70, 3 Au 2.58-2.64
Ni (0.1179, 0.3634, 0.6314)  1 Fe 2.49, 8 Ni 2.52-2.70, 3 Au 2.58-2.64
Ni (0.2448, 0.7552, 0.2403)  8 Ni 2.47-2.67, 2 Fe 2.47-2.51, 2 Au 2.62-2.67
Ni (0.2448, 0.7552, 0.7597)  8 Ni 2.47-2.67, 2 Fe 2.47-2.51, 2 Au 2.62-2.67
Ni (0.3634, 0.1179, 0.3686)  1 Fe 2.49, 8 Ni 2.52-2.70, 3 Au 2.58-2.64
Ni (0.3634, 0.1179, 0.6314)  1 Fe 2.49, 8 Ni 2.52-2.70, 3 Au 2.58-2.64
Ni (0.3710, 0.1161, 0.1195)  8 Ni 2.46-2.62, 3 Fe 2.49-2.56, 1 Au 2.63
Ni (0.3710, 0.1161, 0.8805)  8 Ni 2.46-2.62, 3 Fe 2.49-2.56, 1 Au 2.63
Ni (0.5000, 0.5000, 0.0000)  2 Au 2.55, 2 Fe 2.57, 8 Ni 2.58
Ni (0.5000, 0.5000, 0.5000)  4 Au 2.53-2.59, 8 Ni 2.63
Ni (0.6290, 0.8839, 0.1195)  8 Ni 2.46-2.62, 3 Fe 2.49-2.56, 1 Au 2.63
Ni (0.6290, 0.8839, 0.8805)  8 Ni 2.46-2.62, 3 Fe 2.49-2.56, 1 Au 2.63
Ni (0.6366, 0.8821, 0.3686)  1 Fe 2.49, 8 Ni 2.52-2.70, 3 Au 2.58-2.64
Ni (0.6366, 0.8821, 0.6314)  1 Fe 2.49, 8 Ni 2.52-2.70, 3 Au 2.58-2.64
Ni (0.7552, 0.2448, 0.2403)  8 Ni 2.47-2.67, 2 Fe 2.47-2.51, 2 Au 2.62-2.67
Ni (0.7552, 0.2448, 0.7597)  8 Ni 2.47-2.67, 2 Fe 2.47-2.51, 2 Au 2.62-2.67
Ni (0.8821, 0.6366, 0.3686)  1 Fe 2.49, 8 Ni 2.52-2.70, 3 Au 2.58-2.64
Ni (0.8821, 0.6366, 0.6314)  1 Fe 2.49, 8 Ni 2.52-2.70, 3 Au 2.58-2.64
Ni (0.8839, 0.6290, 0.1195)  8 Ni 2.46-2.62, 3 Fe 2.49-2.56, 1 Au 2.63
Ni (0.8839, 0.6290, 0.8805)  8 Ni 2.46-2.62, 3 Fe 2.49-2.56, 1 Au 2.63
Au (0.2534, 0.7466, 0.5000)  12 Ni 2.53-2.67
Au (0.5000, 0.5000, 0.2481)  12 Ni 2.55-2.63
Au (0.5000, 0.5000, 0.7519)  12 Ni 2.55-2.63
Au (0.7466, 0.2534, 0.5000)  12 Ni 2.53-2.67

***

3.
Density functional theory data (PBE) for a relaxed FeNi4Au crystal.

DOS at the Fermi energy (states/eV/cell): 5.415
E_form (meV per atom): 80
Space-group type: No. 216
V (Å³/cell): 74.7
Total DFT energy (no corrections) (eV per atom): -5.731

Cell: 4.7263 4.7263 4.7263 Å, 60.00 60.00 60.00°
Last column: nearest neighbours and their distance in Å.
Atoms (fractional coordinates):
Fe (0.0000, 0.0000, 0.0000)  12 Ni 2.77, 4 Au 2.89
Ni (0.1245, 0.6252, 0.6252)  6 Ni 2.36-2.37
Ni (0.6252, 0.1245, 0.6252)  6 Ni 2.36-2.37
Ni (0.6252, 0.6252, 0.1245)  6 Ni 2.36-2.37
Ni (0.6252, 0.6252, 0.6252)  6 Ni 2.36-2.37
Au (0.2500, 0.2500, 0.2500)  12 Ni 2.77, 4 Fe 2.89

***

4.
Density functional theory data (PBE) for a relaxed FeNi2Au crystal.

DOS at the Fermi energy (states/eV/cell): 4.265
E_form (meV per atom): 154
Space-group type: No. 216
V (Å³/cell): 52.6
Total DFT energy (no corrections) (eV per atom): -5.672

Cell: 4.2068 4.2068 4.2068 Å, 60.00 60.00 60.00°
Last column: nearest neighbours and their distance in Å.
Atoms (fractional coordinates):
Fe (0.0000, 0.0000, 0.0000)  4 Ni 2.58, 4 Au 2.58
Ni (0.5000, 0.5000, 0.5000)  4 Au 2.58, 4 Ni 2.58
Ni (0.7500, 0.7500, 0.7500)  4 Fe 2.58, 4 Ni 2.58
Au (0.2500, 0.2500, 0.2500)  4 Fe 2.58, 4 Ni 2.58

***

5.
Density functional theory data (PBE) for a relaxed PaFeNiAu crystal.

DOS at the Fermi energy (states/eV/cell): 6.441
E_form (meV per atom): -92
Space-group type: No. 216
V (Å³/cell): 66.1
Total DFT energy (no corrections) (eV per atom): -6.846

Cell: 4.5384 4.5384 4.5384 Å, 60.00 60.00 60.00°
Last column: nearest neighbours and their distance in Å.
Atoms (fractional coordinates):
Pa (0.0000, 0.0000, 0.0000)  4 Fe 2.78, 4 Ni 2.78
Fe (0.2500, 0.2500, 0.2500)  4 Pa 2.78, 4 Au 2.78
Ni (0.7500, 0.7500, 0.7500)  4 Pa 2.78, 4 Au 2.78
Au (0.5000, 0.5000, 0.5000)  4 Fe 2.78, 4 Ni 2.78

***

6.
Density functional theory data (PBE) for a relaxed FeNiPdAu crystal.

DOS at the Fermi energy (states/eV/cell): 3.257
E_form (meV per atom): 83
Space-group type: No. 216
V (Å³/cell): 58.1
Total DFT energy (no corrections) (eV per atom): -5.596

Cell: 4.3465 4.3465 4.3465 Å, 60.00 60.00 60.00°
Last column: nearest neighbours and their distance in Å.
Atoms (fractional coordinates):
Fe (0.0000, 0.0000, 0.0000)  4 Ni 2.66, 4 Pd 2.66
Ni (0.2500, 0.2500, 0.2500)  4 Fe 2.66, 4 Au 2.66
Pd (0.7500, 0.7500, 0.7500)  4 Fe 2.66, 4 Au 2.66
Au (0.5000, 0.5000, 0.5000)  4 Ni 2.66, 4 Pd 2.66

***

7.
Density functional theory data (PBE) for a relaxed FeNiPtAu crystal.

DOS at the Fermi energy (states/eV/cell): 4.119
E_form (meV per atom): 35
Space-group type: No. 216
V (Å³/cell): 57.4
Total DFT energy (no corrections) (eV per atom): -5.856

Cell: 4.3309 4.3309 4.3309 Å, 60.00 60.00 60.00°
Last column: nearest neighbours and their distance in Å.
Atoms (fractional coordinates):
Fe (0.0000, 0.0000, 0.0000)  4 Au 2.65, 4 Pt 2.65
Ni (0.5000, 0.5000, 0.5000)  4 Au 2.65, 4 Pt 2.65
Pt (0.2500, 0.2500, 0.2500)  4 Fe 2.65, 4 Ni 2.65
Au (0.7500, 0.7500, 0.7500)  4 Fe 2.65, 4 Ni 2.65

***

8.
Density functional theory data (PBE) for a relaxed FeReNi2Au crystal.

DOS at the Fermi energy (states/eV/cell): 5.274
E_form (meV per atom): 1359
Space-group type: No. 123
V (Å³/cell): 89.6
Total DFT energy (no corrections) (eV per atom): -5.791

Cell: 4.5084 4.5084 4.4104 Å, 90.00 90.00 90.00°
Last column: nearest neighbours and their distance in Å.
Atoms (fractional coordinates):
Fe (0.0000, 0.0000, 0.0000)  2 Re 2.21
Re (0.0000, 0.0000, 0.5000)  2 Fe 2.21, 4 Ni 2.25
Ni (0.0000, 0.5000, 0.5000)  2 Re 2.25
Ni (0.5000, 0.0000, 0.5000)  2 Re 2.25
Au (0.5000, 0.5000, 0.0000)  8 Ni 3.15, 4 Fe 3.19

***

9.
Density functional theory data (PBE) for a relaxed TaFeNiAu crystal.

DOS at the Fermi energy (states/eV/cell): 5.212
E_form (meV per atom): -10
Space-group type: No. 216
V (Å³/cell): 57.3
Total DFT energy (no corrections) (eV per atom): -7.353

Cell: 4.3282 4.3282 4.3282 Å, 60.00 60.00 60.00°
Last column: nearest neighbours and their distance in Å.
Atoms (fractional coordinates):
Ta (0.0000, 0.0000, 0.0000)  4 Ni 2.65, 4 Fe 2.65
Fe (0.2500, 0.2500, 0.2500)  4 Ta 2.65, 4 Au 2.65
Ni (0.7500, 0.7500, 0.7500)  4 Ta 2.65, 4 Au 2.65
Au (0.5000, 0.5000, 0.5000)  4 Ni 2.65, 4 Fe 2.65

***

10.
Density functional theory data (PBE) for a relaxed TiFeNiAu crystal.

DOS at the Fermi energy (states/eV/cell): 4.756
E_form (meV per atom): -146
Space-group type: No. 216
V (Å³/cell): 56.0
Total DFT energy (no corrections) (eV per atom): -6.500

Cell: 4.2951 4.2951 4.2951 Å, 60.00 60.00 60.00°
Last column: nearest neighbours and their distance in Å.
Atoms (fractional coordinates):
Ti (0.0000, 0.0000, 0.0000)  4 Ni 2.63, 4 Fe 2.63
Fe (0.2500, 0.2500, 0.2500)  4 Au 2.63, 4 Ti 2.63
Ni (0.7500, 0.7500, 0.7500)  4 Au 2.63, 4 Ti 2.63
Au (0.5000, 0.5000, 0.5000)  4 Ni 2.63, 4 Fe 2.63

***

no.,spin magnetization (μB/f.u.)
1,3.96
2,6.30
3,5.07
4,4.08
5,1.02
6,4.16
7,3.91
8,1.43
9,1.67
10,1.68